# TmNiTe2O8 (GGA+U, optimized geometry)
# * uncorrected energy: -5.726 eV per atom
# * total magnetization: 1.39 μB per formula unit
# * mass density: 6.000 g cm⁻³
data_TmNiTe2O8
_cell_length_a 7.070
_cell_length_b 7.070
_cell_length_c 6.764
_cell_angle_alpha 90.00
_cell_angle_beta 90.00
_cell_angle_gamma 90.00
_symmetry_space_group_name_H-M 'I -4 m 2'
_symmetry_Int_Tables_number 119
_symmetry_space_group_name_Hall 'I -4 -2'
loop_
_atom_site_label
_atom_site_type_symbol
_atom_site_fract_x
_atom_site_fract_y
_atom_site_fract_z
Tm1 Tm 0.000 0.000 0.000
Ni1 Ni 0.000 0.500 0.250
Te1 Te 0.000 0.000 0.500
Te2 Te 0.000 0.500 0.750
O1 O 0.000 0.196 0.300
O2 O 0.000 0.309 0.936